{
  "formula": "Ce2SbPd9",
  "functional": "PBE-GGA",
  "state": "optimized geometry",
  "vol_a3_per_cell": 210.4,
  "magnetic_moment_mub_per_atom": 0.0489,
  "raw_formation_energy_ev_per_atom": -0.664,
  "dft_energy_ha_per_atom": -0.2165,
  "lattice": [[4.140, 0.000, 0.000], [0.000, 4.140, 0.000], [0.000, 0.000, 12.278]],
  "species": ["Ce", "Ce", "Sb", "Pd", "Pd", "Pd", "Pd", "Pd", "Pd", "Pd", "Pd", "Pd"],
  "fractional_positions": [[0.000, 0.000, 0.171], [0.000, 0.000, 0.829], [0.000, 0.000, 0.500], [0.000, 0.500, 0.000], [0.000, 0.500, 0.337], [0.000, 0.500, 0.663], [0.500, 0.000, 0.000], [0.500, 0.000, 0.337], [0.500, 0.000, 0.663], [0.500, 0.500, 0.170], [0.500, 0.500, 0.500], [0.500, 0.500, 0.830]]
}